(1)
VASP calculation (PBE) on an optimized crystal structure of Pm2Nd2Y2Ho.

```
data_Pm2Nd2Y2Ho
_space_group_name_H-M_alt 'R -3 m'
_space_group_IT_number 166
_space_group_name_Hall '-R 3 2"'
_cell_length_a 5.7525
_cell_length_b 5.7525
_cell_length_c 24.7765
_cell_angle_alpha 90.00
_cell_angle_beta 90.00
_cell_angle_gamma 120.00
loop_
_atom_site_label
_atom_site_fract_x
_atom_site_fract_y
_atom_site_fract_z
_atom_site_occupancy
Pm1 0.0000 0.0000 0.2146 1
Nd1 0.0000 0.0000 0.3608 1
Y1 0.0000 0.0000 0.0715 1
Ho1 0.0000 0.0000 0.5000 1
```


(2)
VASP calculation (PBE) on an optimized crystal structure of Pm4Nd2YHo2.

```
data_Pm4Nd2YHo2
_space_group_name_H-M_alt 'C 1 2/m 1'
_space_group_IT_number 12
_space_group_name_Hall '-C 2y'
_cell_length_a 15.400
_cell_length_b 5.130
_cell_length_c 8.081
_cell_angle_alpha 90.00
_cell_angle_beta 108.58
_cell_angle_gamma 90.00
loop_
_atom_site_label
_atom_site_fract_x
_atom_site_fract_y
_atom_site_fract_z
_atom_site_occupancy
Pm1 0.056 0.000 0.332 1
Pm2 0.222 0.500 0.331 1
Nd1 0.112 0.500 0.668 1
Y1 0.000 0.500 0.000 1
Ho1 0.167 0.000 0.000 1
```


(3)
VASP calculation (PBE) on an optimized crystal structure of Pm5NdY2Ho.

```
data_Pm5NdY2Ho
_space_group_name_H-M_alt 'C m c 21'
_space_group_IT_number 36
_space_group_name_Hall 'C 2c -2'
_cell_length_a 5.717
_cell_length_b 20.311
_cell_length_c 10.648
_cell_angle_alpha 90.00
_cell_angle_beta 90.00
_cell_angle_gamma 90.00
loop_
_atom_site_label
_atom_site_fract_x
_atom_site_fract_y
_atom_site_fract_z
_atom_site_occupancy
Pm1 0.000 0.018 0.000 1
Pm2 0.000 0.281 0.291 1
Pm3 0.000 0.297 0.685 1
Pm4 0.000 0.388 0.002 1
Pm5 0.000 0.480 0.720 1
Nd1 0.000 0.413 0.433 1
Y1 0.000 0.113 0.712 1
Y2 0.000 0.116 0.298 1
Ho1 0.000 0.200 0.989 1
```


(4)
VASP calculation (PBE) on an optimized crystal structure of Pm2NdYHo.

```
data_Pm2NdYHo
_space_group_name_H-M_alt 'C m c m'
_space_group_IT_number 63
_space_group_name_Hall '-C 2c 2'
_cell_length_a 8.458
_cell_length_b 11.685
_cell_length_c 7.278
_cell_angle_alpha 90.00
_cell_angle_beta 90.00
_cell_angle_gamma 90.00
loop_
_atom_site_label
_atom_site_fract_x
_atom_site_fract_y
_atom_site_fract_z
_atom_site_occupancy
Pm1 0.191 0.000 0.000 1
Nd1 0.000 0.224 0.250 1
Y1 0.000 0.491 0.250 1
Ho1 0.000 0.232 0.750 1
```


(5)
VASP calculation (PBE) on an optimized crystal structure of PmNd2Y2Ho.

```
data_PmNd2Y2Ho
_space_group_name_H-M_alt 'P n n m'
_space_group_IT_number 58
_space_group_name_Hall '-P 2 2n'
_cell_length_a 6.686
_cell_length_b 18.068
_cell_length_c 3.408
_cell_angle_alpha 90.00
_cell_angle_beta 90.00
_cell_angle_gamma 90.00
loop_
_atom_site_label
_atom_site_fract_x
_atom_site_fract_y
_atom_site_fract_z
_atom_site_occupancy
Pm1 0.000 0.000 0.000 1
Nd1 0.232 0.317 0.000 1
Y1 0.229 0.148 0.500 1
Ho1 0.000 0.500 0.000 1
```


(6)
VASP calculation (PBE) on an optimized crystal structure of Pm3NdY2Ho6.

```
data_Pm3NdY2Ho6
_space_group_name_H-M_alt 'C 1 2/m 1'
_space_group_IT_number 12
_space_group_name_Hall '-C 2y'
_cell_length_a 6.200
_cell_length_b 10.736
_cell_length_c 11.827
_cell_angle_alpha 90.00
_cell_angle_beta 100.01
_cell_angle_gamma 90.00
loop_
_atom_site_label
_atom_site_fract_x
_atom_site_fract_y
_atom_site_fract_z
_atom_site_occupancy
Pm1 0.000 0.000 0.000 1
Pm2 0.000 0.333 0.000 1
Nd1 0.000 0.500 0.500 1
Y1 0.000 0.167 0.500 1
Ho1 0.250 0.000 0.749 1
Ho2 0.250 0.167 0.251 1
```


These records have formation energy values of 0.12; 0.02; 0.14; 0.40; 0.27; 0.02 eV/atom, in the order they appear.